DFT (PBE) results for a relaxed TbPrGe crystal.

Summary:
ρ   6.95 g cm⁻³
Relative energy among the computed polymorphs   0 meV per atom
DOS(E_F)   10.8 states/eV per cell

Geometry as POSCAR:
```
TbPrGe
1.0
7.087 0.000 0.000
0.000 7.087 0.000
0.000 0.000 7.087
Tb Pr Ge
4 4 4
Cartesian
0.000 0.000 0.000 Tb
0.000 3.544 3.544 Tb
3.544 0.000 3.544 Tb
3.544 3.544 0.000 Tb
0.000 0.000 3.544 Pr
0.000 3.544 0.000 Pr
3.544 0.000 0.000 Pr
3.544 3.544 3.544 Pr
1.772 1.772 1.772 Ge
1.772 5.315 5.315 Ge
5.315 1.772 5.315 Ge
5.315 5.315 1.772 Ge
```